(1)
# TmNp2Si6

A relaxed TmNp2Si6 crystal (PBE, Alexandria).

Lattice parameters (Å, degrees): 7.0225 7.0225 3.8000 90.00 90.00 120.00
Atoms (fractional coordinates):
1 Tm 0.0000 0.0000 0.0000
2 Np 0.3333 0.6667 0.0000
3 Np 0.6667 0.3333 0.0000
4 Si 0.0000 0.3333 0.5000
5 Si 0.0000 0.6667 0.5000
6 Si 0.3333 0.0000 0.5000
7 Si 0.3333 0.3333 0.5000
8 Si 0.6667 0.0000 0.5000
9 Si 0.6667 0.6667 0.5000

## Properties
The density is 8.30 g/cm³. The value obtained for the uncorrected formation energy is -0.36 eV/atom.



(2)
# TaAlZn

A relaxed TaAlZn crystal (PBE, Alexandria).

Lattice parameters (Å, degrees): 4.2229 4.2229 4.2229 60.00 60.00 60.00
Atoms (fractional coordinates):
1 Ta 0.0000 0.0000 0.0000
2 Al 0.5000 0.5000 0.5000
3 Zn 0.2500 0.2500 0.2500

## Properties
The density is 8.52 g/cm³. For the formation energy, the calculation gives 43 kJ per mole of atoms.



(3)
# Pu2PaH

A relaxed Pu2PaH crystal (PBE, Alexandria).

Lattice parameters (Å, degrees): 5.7329 5.7329 5.7329 41.72 41.72 41.72
Atoms (fractional coordinates):
1 Pu 0.1608 0.1608 0.1608
2 Pu 0.8392 0.8392 0.8392
3 Pa 0.0000 0.0000 0.0000
4 H 0.5000 0.5000 0.5000

## Properties
The density is 15.85 g/cm³. As for the energy above the most stable polymorph in this dataset: 0.0 kJ/mol of atoms.



(4)
# Ce3Fe3B8

A relaxed Ce3Fe3B8 crystal (PBE, Alexandria).

Lattice parameters (Å, degrees): 7.8070 7.8070 7.8070 156.92 114.99 69.98
Atoms (fractional coordinates):
1 Ce 0.0000 0.0000 0.0000
2 Ce 0.2709 0.2709 0.0000
3 Ce 0.7291 0.7291 0.0000
4 Fe 0.3028 0.5000 0.8028
5 Fe 0.5000 0.0000 0.5000
6 Fe 0.6972 0.5000 0.1972
7 B 0.0573 0.3646 0.6927
8 B 0.1534 0.8827 0.2708
9 B 0.3280 0.6354 0.6927
10 B 0.3881 0.1173 0.2708
11 B 0.6119 0.8827 0.7292
12 B 0.6720 0.3646 0.3073
13 B 0.8466 0.1173 0.7292
14 B 0.9427 0.6354 0.3073

## Properties
The density is 6.68 g/cm³. For the formation energy, the calculation gives -22 kJ per mole of atoms.



Number 1: DFT total energy -7.3454 eV/atom, volume 162 Å³ per cell, DOS(E_F) 1.5344 states/eV/atom. Number 2: DFT total energy -5.1781 eV/atom, volume 53 Å³ per cell, DOS(E_F) 0.6055 states/eV/atom. Number 3: DFT total energy -10.0327 eV/atom, volume 75 Å³ per cell, DOS(E_F) 1.3844 states/eV/atom. Number 4: DFT total energy -7.1291 eV/atom, volume 168 Å³ per cell, DOS(E_F) 0.9627 states/eV/atom.